SmTl2Ni3F12 (PBE with a Hubbard U, optimized geometry); E_tot = -83.346 eV/cell
1.0
3.738 2.158 5.179
-3.738 2.158 5.179
0.000 -4.316 5.179
Sm Tl Ni F
1 2 3 12
Cartesian
0.000 0.000 0.000
0.000 0.000 6.115
0.000 0.000 9.421
-3.738 0.000 7.768
-1.869 1.079 2.589
1.869 1.079 2.589
-2.392 -1.381 8.320
0.000 -1.848 4.565
-1.601 0.924 4.565
0.000 -2.762 7.216
-2.392 1.381 7.216
-1.601 -0.924 10.971
1.601 0.924 4.565
2.392 -1.381 8.320
0.000 2.762 8.320
1.601 -0.924 10.971
0.000 1.848 10.971
2.392 1.381 7.216